Below is an optimized crystal structure of Li2MgNi2O4, with properties calculated at the PBE+U level.

As for the density: 4.0 g/cm3. The calculation puts the total energy at -5.0303 eV per atom.

Structure (CIF):
```
data_Li2MgNi2O4
_chemical_formula_sum 'Li2 Mg1 Ni2 O4'
_space_group_name_H-M_alt 'P 1'
_space_group_IT_number 1
_cell_length_a 2.9840
_cell_length_b 7.4618
_cell_length_c 6.3430
_cell_angle_alpha 136.97
_cell_angle_beta 103.60
_cell_angle_gamma 90.00
loop_
_space_group_symop_operation_xyz
'x,y,z'
loop_
_atom_site_label
_atom_site_fract_x
_atom_site_fract_y
_atom_site_fract_z
Li1 0.6402 0.9033 0.2803
Li2 0.3598 0.0967 0.7197
Mg1 0.0000 0.0000 0.0000
Ni1 0.1915 0.5799 0.3830
Ni2 0.8085 0.4201 0.6170
O1 0.2342 0.1618 0.4685
O2 0.7658 0.8382 0.5315
O3 0.4134 0.7124 0.8267
O4 0.5866 0.2876 0.1733
```